1.
A plane-wave DFT calculation with meta-GGA SCAN was carried out for a crystal of SiTcBr relaxed with PBEsol.

Cell: 2.9327 3.7218 11.8076 Å, 90.00 90.00 90.00°
Last column: nearest neighbours and their distance in Å.
Space group Imm2 (No. 44)
One atom of each set of equivalent atoms:
Si 0.0000 0.0000 0.0000  4 Tc 2.40
Tc 0.0000 0.0000 0.5332  1 Br 2.38, 4 Si 2.40
Br 0.0000 0.0000 0.7349  1 Tc 2.38

## Properties
ΔE_f (raw) (meV per atom): 214
Total moment (Bohr magnetons per cell): 0.0

---

2.
A plane-wave DFT calculation with meta-GGA SCAN was carried out for a crystal of SiTc2Br relaxed with PBEsol.

Cell: 2.8793 2.8793 27.8282 Å, 90.00 90.00 120.00°
Last column: nearest neighbours and their distance in Å.
Space group R3m (No. 160, hexagonal axes)
One atom of each set of equivalent atoms:
Si 0.0000 0.0000 0.0000  3 Tc 2.58, 6 Si 2.88
Tc 0.0000 0.0000 0.4775  3 Br 2.61, 9 Tc 2.63-2.88
Tc 0.0000 0.0000 0.7375  3 Si 2.58, 9 Tc 2.63-2.88
Br 0.0000 0.0000 0.2165  3 Tc 2.61, 6 Br 2.88

## Properties
ΔE_f (raw) (meV per atom): 407
Total moment (Bohr magnetons per cell): 0.0

---

3.
A plane-wave DFT calculation with meta-GGA SCAN was carried out for a crystal of Si2TcBr relaxed with PBEsol.

Cell: 4.8021 4.8021 2.7544 Å, 90.00 90.00 90.00°
Last column: nearest neighbours and their distance in Å.
Space group P4/mmm (No. 123)
One atom of each set of equivalent atoms:
Si 0.0000 0.5000 0.0000  2 Si 2.75, 4 Tc 2.77, 4 Br 2.77
Tc 0.0000 0.0000 0.5000  2 Tc 2.75, 8 Si 2.77
Br 0.5000 0.5000 0.5000  2 Br 2.75, 8 Si 2.77

## Properties
ΔE_f (raw) (meV per atom): 886
Total moment (Bohr magnetons per cell): 0.0

---

4.
A plane-wave DFT calculation with meta-GGA SCAN was carried out for a crystal of SiTcBr relaxed with PBEsol.

Cell: 4.3198 4.3198 2.9382 Å, 90.00 90.00 120.00°
Last column: nearest neighbours and their distance in Å.
Space group P-6m2 (No. 187)
One atom of each set of equivalent atoms:
Si 0.0000 0.0000 0.0000  6 Tc 2.89, 6 Br 2.89, 2 Si 2.94
Tc 0.6667 0.3333 0.5000  3 Br 2.49
Br 0.3333 0.6667 0.5000  3 Tc 2.49

## Properties
ΔE_f (raw) (meV per atom): 852
Total moment (Bohr magnetons per cell): 0.0

---

5.
A plane-wave DFT calculation with meta-GGA SCAN was carried out for a crystal of Si2TcBr relaxed with PBEsol.

Cell: 3.9471 3.4189 5.7845 Å, 90.00 95.11 90.00°
Last column: nearest neighbours and their distance in Å.
Space group Pm (No. 6)
One atom of each set of equivalent atoms:
Si 0.0000 0.0000 0.0000  2 Si 2.35, 2 Tc 2.37, 1 Br 2.48
Si 0.4104 0.5000 0.0451  2 Tc 2.29-2.45, 2 Si 2.35
Tc 0.9146 0.5000 0.2726  4 Si 2.29-2.45
Br 0.7274 0.0000 0.5967  1 Si 2.48, 2 Tc 2.69

## Properties
ΔE_f (raw) (meV per atom): 255
Total moment (Bohr magnetons per cell): 0.0

---

6.
A plane-wave DFT calculation with meta-GGA SCAN was carried out for a crystal of Si2TcBr relaxed with PBEsol.

Cell: 5.8086 5.8086 11.1938 Å, 90.00 90.00 90.00°
Last column: nearest neighbours and their distance in Å.
Space group I-42d (No. 122)
One atom of each set of equivalent atoms:
Si 0.1810 0.2500 0.1250  2 Tc 2.27
Tc 0.0000 0.0000 0.0000  4 Si 2.27
Br 0.0000 0.0000 0.5000  4 Si 2.74

## Properties
ΔE_f (raw) (meV per atom): 587
Total moment (Bohr magnetons per cell): 0.0

---

7.
A plane-wave DFT calculation with meta-GGA SCAN was carried out for a crystal of Si2TcBr relaxed with PBEsol.

Cell: 2.9792 2.9792 26.3045 Å, 90.00 90.00 120.00°
Last column: nearest neighbours and their distance in Å.
Space group R3m (No. 160, hexagonal axes)
One atom of each set of equivalent atoms:
Si 0.0000 0.0000 0.0000  3 Si 2.62
Si 0.0000 0.0000 0.2583  3 Tc 2.49, 3 Si 2.62
Tc 0.0000 0.0000 0.5232  3 Si 2.49, 3 Br 2.58
Br 0.0000 0.0000 0.7832  3 Tc 2.58

## Properties
ΔE_f (raw) (meV per atom): 446
Total moment (Bohr magnetons per cell): 0.0

---

8.
A plane-wave DFT calculation with meta-GGA SCAN was carried out for a crystal of SiTcBr2 relaxed with PBEsol.

Cell: 3.0813 3.9262 14.3918 Å, 90.00 90.00 90.00°
Last column: nearest neighbours and their distance in Å.
Space group Immm (No. 71)
One atom of each set of equivalent atoms:
Si 0.0000 0.0000 0.0000  4 Tc 2.50
Tc 0.0000 0.0000 0.5000  4 Si 2.50, 4 Br 2.65
Br 0.0000 0.5000 0.1500  2 Tc 2.65, 2 Si 2.92

## Properties
ΔE_f (raw) (meV per atom): 96
Total moment (Bohr magnetons per cell): 0.0

---

Repeat the seventh record exactly.
A plane-wave DFT calculation with meta-GGA SCAN was carried out for a crystal of Si2TcBr relaxed with PBEsol.

Cell: 2.9792 2.9792 26.3045 Å, 90.00 90.00 120.00°
Last column: nearest neighbours and their distance in Å.
Space group R3m (No. 160, hexagonal axes)
One atom of each set of equivalent atoms:
Si 0.0000 0.0000 0.0000  3 Si 2.62
Si 0.0000 0.0000 0.2583  3 Tc 2.49, 3 Si 2.62
Tc 0.0000 0.0000 0.5232  3 Si 2.49, 3 Br 2.58
Br 0.0000 0.0000 0.7832  3 Tc 2.58

## Properties
ΔE_f (raw) (meV per atom): 446
Total moment (Bohr magnetons per cell): 0.0

---

Question: Which of these has the lowest ΔE_f (raw)?
Answer: SiTcBr2

---

Question: Which formula does entry 3 have?
Answer: Si2TcBr

---

Question: total moment of number 8 (SiTcBr2)?
Answer: 0.0 Bohr magnetons per cell